Below is an optimized crystal structure of Tl2PAu, with properties calculated at the GGA-PBE level.

Results
calculated volume = 93.7 Å³/cell
polymorph energy (0 for the lowest one) = 0.372 eV per atom
energy of formation = 337 meV/atom
space group = No. 119
electronic total energy = -3.0184 eV/atom
crystal system = tetragonal
M_tot = 0.00 μB per formula unit

Unit cell a=5.0868 b=5.0868 c=5.0868 alpha=119.52 beta=119.52 gamma=90.84
Last column: nearest neighbours and their distance in Å.
Sites, in units of the cell vectors:
Tl 0.2500 0.7500 0.5000  4 Au 3.12, 4 Tl 3.12
Tl 0.0000 0.0000 0.0000  4 Tl 3.12, 4 P 3.12
P 0.7500 0.2500 0.5000  4 Tl 3.12, 4 Au 3.12
Au 0.5000 0.5000 0.0000  4 P 3.12, 4 Tl 3.12